1.
Density functional theory data (GGA-PBE) for a relaxed structure of K2SrSi2Se6.

The structure in POSCAR format:
```
K2SrSi2Se6
1.0
3.7298 2.1534 8.4631
-3.7298 2.1534 8.4631
0.0000 -4.3068 8.4631
K Sr Si Se
2 1 2 6
Cartesian
0.0000 0.0000 5.4325
0.0000 0.0000 19.9568
0.0000 0.0000 0.0000
0.0000 0.0000 10.6212
0.0000 0.0000 14.7681
-1.8925 -1.0926 14.6390
0.0000 -2.1852 10.7503
-1.8924 1.0926 10.7503
1.8925 -1.0926 14.6390
0.0000 2.1852 14.6390
1.8925 1.0926 10.7503
```

Results
As for the size of the total moment: 0.0 μB per cell. Its final energy is -4.110 eV per atom.

---

2.
Density functional theory data (GGA-PBE) for a relaxed structure of K2SrSiSe4.

The structure in POSCAR format:
```
K2SrSiSe4
1.0
-4.1171 4.5166 6.2004
4.1171 -4.5166 6.2004
4.1171 4.5166 -6.2004
K Sr Si Se
4 2 2 8
Cartesian
0.0000 0.0000 0.0000
-2.0586 2.2583 3.1002
0.0000 4.5166 0.0000
2.0586 2.2583 3.1002
4.1171 0.0000 0.0000
0.0000 0.0000 6.2004
2.0586 2.2583 -3.1002
2.0586 -2.2583 3.1002
4.1171 -0.4883 3.0757
2.0951 2.2583 -0.6456
4.1171 4.0283 -3.0757
6.1391 2.2583 -0.6456
-2.0220 2.2583 6.8461
0.0000 0.4883 9.2761
2.0220 2.2583 6.8461
0.0000 5.0050 3.1247
```

Results
As for the size of the total moment: 0.0 μB per cell. Its final energy is -3.832 eV per atom.

---

3.
Density functional theory data (GGA-PBE) for a relaxed structure of KSr2SiSe4.

The structure in POSCAR format:
```
KSr2SiSe4
1.0
6.1219 -6.1385 0.0000
6.1219 6.1385 0.0000
-6.0237 0.0000 6.1250
K Sr Si Se
2 4 2 8
Cartesian
0.0000 0.0000 0.0000
-3.0118 0.0000 3.0625
3.0610 3.0693 0.0000
0.0491 -3.0693 3.0625
6.1219 0.0000 0.0000
3.1101 0.0000 3.0625
0.0491 3.0693 3.0625
3.0610 -3.0693 0.0000
0.0992 0.4987 3.1140
2.9885 3.0288 3.1731
0.2198 3.0288 6.0145
3.1111 -0.4987 0.0515
3.1091 0.4987 6.0736
6.0004 -3.0288 0.1106
3.2317 -3.0288 2.9520
6.1209 -0.4987 3.0110
```

Results
As for the size of the total moment: 0.0 μB per cell. Its final energy is -4.054 eV per atom.

---

4.
Density functional theory data (GGA-PBE) for a relaxed structure of KTmSiSe4.

The structure in POSCAR format:
```
KTmSiSe4
1.0
6.6330 0.0000 0.0000
0.0000 6.9702 0.0000
-2.7615 0.0000 8.6516
K Tm Si Se
2 2 2 8
Cartesian
1.4955 1.7425 0.5129
2.3759 5.2276 8.1387
-0.0169 1.7425 4.7662
3.8884 5.2276 3.8855
0.5833 5.2276 2.8695
3.2882 1.7425 5.7821
-1.9109 3.5099 6.1308
-1.9109 6.9453 6.1308
2.3532 5.2276 1.4618
1.2853 5.2276 5.0245
2.5862 1.7425 3.6271
1.5182 1.7425 7.1898
5.7824 0.0248 2.5209
5.7824 3.4603 2.5209
```

Results
As for the size of the total moment: 0.0 μB per cell. Its final energy is -4.759 eV per atom.

---

5.
Density functional theory data (GGA-PBE) for a relaxed structure of K2ZnSiSe4.

The structure in POSCAR format:
```
K2ZnSiSe4
1.0
0.0000 6.9249 11.4336
3.0717 0.0000 11.4336
3.0717 6.9249 0.0000
K Zn Si Se
4 2 2 8
Cartesian
2.3038 5.1937 1.3342
3.8396 8.6561 7.0509
2.3038 5.1937 15.8162
3.8396 8.6561 21.5330
2.3038 5.1937 8.5752
3.8396 8.6561 14.2920
0.7679 1.7312 2.8584
5.3755 12.1186 20.0087
2.1451 3.0458 4.1556
3.9983 6.5082 9.8724
2.4625 7.3416 4.1556
2.4625 3.0458 12.9948
3.6809 10.8040 9.8724
3.6809 6.5082 18.7115
2.1451 7.3416 12.9948
3.9983 10.8040 18.7115
```

Results
As for the size of the total moment: 0.0 μB per cell. Its final energy is -3.769 eV per atom.

---

6.
Density functional theory data (GGA-PBE) for a relaxed structure of KSm5Se6.

The structure in POSCAR format:
```
KSm5Se6
1.0
3.6515 -6.3160 0.0000
3.6515 6.3160 0.0000
-2.4377 0.0000 6.9289
K Sm Se
1 5 6
Cartesian
0.0000 0.0000 0.0000
2.4327 4.2944 3.4645
3.6515 2.0947 0.0000
2.4327 0.0000 3.4645
3.6515 -2.0947 0.0000
2.4327 -4.2944 3.4645
1.2503 2.1701 1.7902
0.0584 0.0000 5.1996
1.2503 -2.1701 1.7902
3.6150 2.1701 5.1387
4.8070 0.0000 1.7293
3.6150 -2.1701 5.1387
```

Results
As for the size of the total moment: 0.0 μB per cell. Its final energy is -5.568 eV per atom.

---

7.
Density functional theory data (GGA-PBE) for a relaxed structure of KSm2Se.

The structure in POSCAR format:
```
KSm2Se
1.0
1.9939 1.1512 11.2001
-1.9939 1.1512 11.2001
0.0000 -2.3024 11.2001
K Sm Se
1 2 1
Cartesian
0.0000 0.0000 0.0000
0.0000 0.0000 3.8847
0.0000 0.0000 29.7155
0.0000 0.0000 16.8001
```

Results
As for the size of the total moment: 0.6 μB per cell. Its final energy is -4.115 eV per atom.

---

8.
Density functional theory data (GGA-PBE) for a relaxed structure of KSmSe.

The structure in POSCAR format:
```
KSmSe
1.0
2.9035 -2.9039 0.0000
2.9035 2.9039 0.0000
-0.1674 0.0000 13.8745
K Sm Se
2 2 2
Cartesian
0.0000 0.0000 0.0000
2.8680 0.0000 3.8044
2.7695 0.0000 10.0513
5.6696 0.0000 7.6269
2.7645 0.0000 7.0989
5.6741 0.0000 10.5788
```

Results
As for the size of the total moment: 0.1 μB per cell. Its final energy is -4.231 eV per atom.

---

9.
Density functional theory data (GGA-PBE) for a relaxed structure of KSm2Se3.

The structure in POSCAR format:
```
KSm2Se3
1.0
4.2254 0.0000 0.0000
-2.1127 3.6593 0.0000
0.0000 0.0000 22.4167
K Sm Se
2 4 6
Cartesian
0.0000 0.0000 5.6042
0.0000 0.0000 16.8125
0.0000 2.4396 1.7257
0.0000 2.4396 9.4826
2.1127 1.2198 12.9341
2.1127 1.2198 20.6909
0.0000 0.0000 0.0000
0.0000 0.0000 11.2083
0.0000 2.4396 14.5576
0.0000 2.4396 19.0674
2.1127 1.2198 3.3492
2.1127 1.2198 7.8591
```

Results
As for the size of the total moment: 0.0 μB per cell. Its final energy is -5.272 eV per atom.

---

10.
Density functional theory data (GGA-PBE) for a relaxed structure of KSm3Se4.

The structure in POSCAR format:
```
KSm3Se4
1.0
4.2292 0.0000 0.0000
-2.1146 3.6626 0.0000
0.0000 0.0000 29.0323
K Sm Se
2 6 8
Cartesian
0.0000 2.4417 7.2581
2.1146 1.2209 21.7742
0.0000 0.0000 0.0000
0.0000 0.0000 14.5161
0.0000 2.4417 17.8901
0.0000 2.4417 25.6583
2.1146 1.2209 3.3739
2.1146 1.2209 11.1422
0.0000 0.0000 4.9976
0.0000 0.0000 9.5185
0.0000 0.0000 19.5138
0.0000 0.0000 24.0346
0.0000 2.4417 1.6899
0.0000 2.4417 12.8263
2.1146 1.2209 16.2060
2.1146 1.2209 27.3424
```

Results
As for the size of the total moment: 0.0 μB per cell. Its final energy is -5.431 eV per atom.

---

11.
Density functional theory data (GGA-PBE) for a relaxed structure of KSmSe2.

The structure in POSCAR format:
```
KSmSe2
1.0
2.1500 1.2413 7.6953
-2.1500 1.2413 7.6953
0.0000 -2.4826 7.6953
K Sm Se
1 1 2
Cartesian
0.0000 0.0000 0.0000
0.0000 0.0000 11.5429
0.0000 0.0000 5.4551
0.0000 0.0000 17.6307
```

Results
As for the size of the total moment: 0.0 μB per cell. Its final energy is -4.956 eV per atom.

---

12.
Density functional theory data (GGA-PBE) for a relaxed structure of KSmSe2.

The structure in POSCAR format:
```
KSmSe2
1.0
2.1369 1.2337 7.8683
-2.1369 1.2337 7.8683
0.0000 -2.4674 7.8683
K Sm Se
1 1 2
Cartesian
0.0000 0.0000 0.0000
0.0000 0.0000 4.0044
0.0000 0.0000 13.4995
0.0000 0.0000 18.1093
```

Results
As for the size of the total moment: 0.0 μB per cell. Its final energy is -4.932 eV per atom.

---

13.
Density functional theory data (GGA-PBE) for a relaxed structure of KSm4Se6.

The structure in POSCAR format:
```
KSm4Se6
1.0
2.1036 -6.9985 0.0000
2.1036 6.9985 0.0000
0.0000 0.0000 22.0973
K Sm Se
2 8 12
Cartesian
2.1036 4.8365 16.5730
2.1036 -4.8365 5.5243
2.1036 5.6253 2.9547
2.1036 5.6253 8.0939
2.1036 1.8508 0.9267
2.1036 1.8508 10.1220
2.1036 -1.8508 11.9753
2.1036 -1.8508 21.1707
2.1036 -5.6253 14.0034
2.1036 -5.6253 19.1426
0.0000 0.0000 0.0000
0.0000 0.0000 11.0487
2.1036 4.6398 5.5243
2.1036 3.1933 12.8236
2.1036 3.1933 20.3224
2.1036 0.5309 3.4358
2.1036 0.5309 7.6128
2.1036 -0.5309 14.4845
2.1036 -0.5309 18.6615
2.1036 -3.1933 1.7749
2.1036 -3.1933 9.2738
2.1036 -4.6398 16.5730
```

Results
As for the size of the total moment: 0.0 μB per cell. Its final energy is -5.506 eV per atom.

---

14.
Density functional theory data (GGA-PBE) for a relaxed structure of K4Sm3SnSe8.

The structure in POSCAR format:
```
K4Sm3SnSe8
1.0
4.2874 2.4753 7.6902
-4.2874 2.4753 7.6902
0.0000 -4.9507 7.6902
K Sm Sn Se
4 3 1 8
Cartesian
0.0000 0.0000 0.0000
-2.1437 -1.2377 7.6902
-2.1437 1.2377 15.3803
0.0000 2.4753 7.6902
-4.2874 0.0000 11.5352
-2.1437 1.2377 3.8451
2.1437 1.2377 3.8451
0.0000 0.0000 11.5352
0.0000 0.0000 5.4584
-2.1193 -1.2236 13.1215
0.0000 -2.4471 9.9490
-2.1193 1.2236 9.9490
2.1193 -1.2236 13.1214
0.0000 2.4471 13.1214
2.1193 1.2236 9.9490
0.0000 0.0000 17.6120
```

Results
As for the size of the total moment: 0.0 μB per cell. Its final energy is -4.647 eV per atom.

---

15.
Density functional theory data (GGA-PBE) for a relaxed structure of KSm2Sn3Se6.

The structure in POSCAR format:
```
KSm2Sn3Se6
1.0
9.3507 -2.0923 0.0000
9.3507 2.0923 0.0000
-1.7376 0.0000 9.0479
K Sm Sn Se
1 2 3 6
Cartesian
0.0000 0.0000 0.0000
5.0330 0.0000 6.0246
11.9307 0.0000 3.0232
-0.8688 0.0000 4.5239
6.0163 0.0000 1.5218
10.9474 0.0000 7.5260
2.1465 0.0000 5.0832
3.2356 0.0000 1.0365
7.8217 0.0000 6.5541
9.1421 0.0000 2.4937
13.7282 0.0000 8.0113
14.8172 0.0000 3.9647
```

Results
As for the size of the total moment: 0.0 μB per cell. Its final energy is -4.640 eV per atom.

---

16.
Density functional theory data (GGA-PBE) for a relaxed structure of KSmSnSe3.

The structure in POSCAR format:
```
KSmSnSe3
1.0
2.1043 -8.4443 0.0000
2.1043 8.4443 0.0000
0.0000 0.0000 11.9921
K Sm Sn Se
2 2 2 6
Cartesian
2.1043 5.5557 8.9941
2.1043 -5.5557 2.9980
2.1043 0.0000 0.0000
2.1043 0.0000 5.9961
2.1043 6.4569 2.9980
2.1043 -6.4569 8.9941
2.1043 6.4414 0.0739
2.1043 6.4414 5.9221
2.1043 0.1235 8.9941
2.1043 -0.1235 2.9980
2.1043 -6.4414 6.0700
2.1043 -6.4414 11.9182
```

Results
As for the size of the total moment: 0.0 μB per cell. Its final energy is -4.547 eV per atom.

---

17.
Density functional theory data (GGA-PBE) for a relaxed structure of K2SmSnSe4.

The structure in POSCAR format:
```
K2SmSnSe4
1.0
-4.3912 4.4004 6.2110
4.3912 -4.4004 6.2110
4.3912 4.4004 -6.2110
K Sm Sn Se
4 2 2 8
Cartesian
0.0000 0.0000 0.0000
-2.1956 2.2002 3.1055
0.0000 4.4004 0.0000
2.1956 2.2002 3.1055
2.1956 2.2002 -3.1055
2.1956 -2.2002 3.1055
4.3912 0.0000 0.0000
0.0000 0.0000 6.2110
4.3912 -0.2150 2.9192
2.4513 2.2002 -0.1561
6.3311 2.2002 -0.1561
4.3912 4.1854 -2.9192
0.0000 0.2150 9.1302
-1.9399 2.2002 6.3672
1.9399 2.2002 6.3672
0.0000 4.6155 3.2919
```

Results
As for the size of the total moment: 0.0 μB per cell. Its final energy is -4.314 eV per atom.

---

18.
Density functional theory data (GGA-PBE) for a relaxed structure of K2Sm2SnSe6.

The structure in POSCAR format:
```
K2Sm2SnSe6
1.0
3.6264 -6.2408 0.0000
3.6264 6.2408 0.0000
-2.4255 0.0000 7.9222
K Sm Sn Se
2 2 1 6
Cartesian
3.6264 4.1218 0.0000
3.6264 -4.1218 0.0000
2.4137 2.1037 3.9611
2.4137 -2.1037 3.9611
-1.2127 0.0000 3.9611
-0.0495 1.9772 5.5677
1.0278 0.0000 2.3938
-0.0495 -1.9772 5.5677
4.8769 1.9772 2.3545
3.7995 0.0000 5.5284
4.8769 -1.9772 2.3545
```

Results
As for the size of the total moment: 0.0 μB per cell. Its final energy is -4.652 eV per atom.

---

19.
Density functional theory data (GGA-PBE) for a relaxed structure of K3Tb2SmSe6.

The structure in POSCAR format:
```
K3Tb2SmSe6
1.0
3.6838 -6.3805 0.0000
3.6838 6.3805 0.0000
-2.4570 0.0000 7.6915
K Tb Sm Se
3 2 1 6
Cartesian
0.0000 0.0000 0.0000
3.6838 2.1198 0.0000
3.6838 -2.1198 0.0000
2.4553 4.2526 3.8457
2.4553 -4.2526 3.8457
2.4553 0.0000 3.8457
1.2130 2.1520 2.2544
-0.0297 0.0000 5.4363
1.2130 -2.1520 2.2544
3.6977 2.1520 5.4371
4.9404 0.0000 2.2552
3.6977 -2.1520 5.4371
```

Results
As for the size of the total moment: 0.0 μB per cell. Its final energy is -4.946 eV per atom.

---

20.
Density functional theory data (GGA-PBE) for a relaxed structure of KTb4SmSe8.

The structure in POSCAR format:
```
KTb4SmSe8
1.0
4.3056 2.4859 7.1043
-4.3056 2.4859 7.1043
0.0000 -4.9717 7.1043
K Tb Sm Se
1 4 1 8
Cartesian
0.0000 0.0000 0.0000
-2.2313 -1.2882 9.7790
0.0000 0.0000 5.3802
2.2313 -1.2883 9.7790
0.0000 2.5765 9.7790
0.0000 0.0000 13.4675
0.0000 -2.3522 11.5165
-2.0371 1.1761 11.5165
0.0000 0.0000 8.1947
-1.9073 -1.1012 15.2830
2.0370 1.1761 11.5165
0.0000 0.0000 18.3511
1.9073 -1.1012 15.2830
0.0000 2.2024 15.2830
```

Results
As for the size of the total moment: 0.0 μB per cell. Its final energy is -5.483 eV per atom.